Crystalline TeMoSe at its relaxed geometry, computed with PBE-GGA.

Calculated values
**Distance to the lowest polymorph of the same formula**: 0.000 eV per atom
**Formation energy without anion corrections**: -0.454 eV/atom
**SG**: P-3m1

abc: 3.4348 3.4348 29.0809
angles: 90.00 90.00 120.00
Sites, in units of the cell vectors:
Te 0.6667 0.3333 0.5648
Te 0.6667 0.3333 0.6926
Te 0.3333 0.6667 0.3074
Te 0.3333 0.6667 0.4352
Mo 0.6667 0.3333 0.3713
Mo 0.3333 0.6667 0.1217
Mo 0.6667 0.3333 0.8783
Mo 0.3333 0.6667 0.6287
Se 0.3333 0.6667 0.8220
Se 0.6667 0.3333 0.1780
Se 0.6667 0.3333 0.0655
Se 0.3333 0.6667 0.9345



Crystalline TeMoSe2 at its relaxed geometry, computed with PBE-GGA.

Calculated values
**DOS(E_F)**: 1.74 states/eV per cell
**Formation energy without anion corrections**: -0.209 eV/atom
**SG**: Cm

abc: 6.8216 6.8216 6.3035
angles: 65.43 65.43 26.14
Sites, in units of the cell vectors:
Se 0.1027 0.1027 0.8644
Se 0.2445 0.2445 0.1979
Mo 0.7452 0.7452 0.8863
Te 0.4077 0.4077 0.5513



Crystalline Te2MoSe at its relaxed geometry, computed with PBE-GGA.

Calculated values
**DOS(E_F)**: 2.23 states/eV per cell
**Formation energy without anion corrections**: 0.768 eV/atom
**SG**: P4/mmm

abc: 5.6457 4.1901 4.1901
angles: 90.00 90.00 90.00
Last column: magnetic moment on the atom in μB.
Sites, in units of the cell vectors:
Te 0.0000 0.0000 0.0000  -0.14
Te 0.0000 0.5000 0.5000  -0.14
Mo 0.5000 0.5000 0.0000  2.93
Se 0.5000 0.0000 0.5000  -0.14



Crystalline TeMo2Se at its relaxed geometry, computed with PBE-GGA.

Calculated values
**DOS(E_F)**: 4.69 states/eV per cell
**Distance to the lowest polymorph of the same formula**: 0.881 eV per atom
**Formation energy without anion corrections**: 0.736 eV/atom
**SG**: Pmmm

abc: 3.2351 5.4301 4.2613
angles: 90.00 90.00 90.00
Sites, in units of the cell vectors:
Se 0.5000 0.0000 0.5000
Mo 0.5000 0.5000 0.0000
Mo 0.0000 0.0000 0.0000
Te 0.0000 0.5000 0.5000



Crystalline TeMoSe at its relaxed geometry, computed with PBE-GGA.

Calculated values
**DOS(E_F)**: 2.07 states/eV per cell
**Distance to the lowest polymorph of the same formula**: 0.558 eV per atom
**Formation energy without anion corrections**: 0.104 eV/atom
**SG**: F-43m

abc: 4.6156 4.6156 4.6156
angles: 60.00 60.00 60.00
Last column: magnetic moment on the atom in μB.
Sites, in units of the cell vectors:
Se 0.0000 0.0000 0.0000  -0.02
Mo 0.7500 0.7500 0.7500  1.55
Te 0.5000 0.5000 0.5000  -0.04



Crystalline TeMoSe at its relaxed geometry, computed with PBE-GGA.

Calculated values
**Distance to the lowest polymorph of the same formula**: 0.000 eV per atom
**Formation energy without anion corrections**: -0.454 eV/atom
**SG**: P3m1

abc: 3.4350 3.4350 14.5330
angles: 90.00 90.00 120.00
Sites, in units of the cell vectors:
Te 0.3333 0.6667 0.4234
Te 0.3333 0.6667 0.6791
Mo 0.6667 0.3333 0.5513
Mo 0.3333 0.6667 0.0506
Se 0.6667 0.3333 0.1632
Se 0.6667 0.3333 0.9380



Crystalline TeMo2Se2 at its relaxed geometry, computed with PBE-GGA.

Calculated values
**DOS(E_F)**: 3.60 states/eV per cell
**Formation energy without anion corrections**: 0.127 eV/atom
**SG**: P-1

abc: 4.9373 4.9398 6.4423
angles: 101.84 101.97 97.41
Sites, in units of the cell vectors:
Se 0.2122 0.2885 0.9994
Se 0.7878 0.7115 0.0006
Mo 0.6611 0.1605 0.9089
Mo 0.3389 0.8395 0.0911
Te 0.5000 0.0000 0.5000



Crystalline TeMo2Se at its relaxed geometry, computed with PBE-GGA.

Calculated values
**DOS(E_F)**: 2.78 states/eV per cell
**Distance to the lowest polymorph of the same formula**: 0.119 eV per atom
**Formation energy without anion corrections**: -0.026 eV/atom
**SG**: P4mm

abc: 3.1736 3.1736 8.2253
angles: 90.00 90.00 90.00
Sites, in units of the cell vectors:
Se 0.0000 0.0000 0.4052
Mo 0.5000 0.5000 0.2479
Mo 0.0000 0.0000 0.0244
Te 0.5000 0.5000 0.8225